[1]
VASP calculation (PBE) on a relaxed Ba3YZn crystal.

Cell and atoms, written as POSCAR:
```
Ba3YZn
1.0
6.565 0.000 0.000
0.000 6.565 0.000
0.000 0.000 6.565
Ba Y Zn
3 1 1
direct
0.000 0.000 0.500
0.000 0.500 0.000
0.500 0.000 0.000
0.000 0.000 0.000
0.500 0.500 0.500
```

Values from the calculation:
- SG = No. 221
- D(E_F) (states/eV/cell) = 13.00
- energy relative to the elements (eV/f.u.) = 3.58

[2]
VASP calculation (PBE) on a relaxed NaCoRu crystal.

Cell and atoms, written as POSCAR:
```
NaCoRu
1.0
4.299 0.000 0.000
-2.149 3.723 0.000
0.000 0.000 6.442
Na Co Ru
2 2 2
direct
0.000 0.000 0.000
0.000 0.000 0.500
0.667 0.333 0.176
0.667 0.333 0.824
0.333 0.667 0.180
0.333 0.667 0.820
```

Values from the calculation:
- SG = No. 187
- D(E_F) (states/eV/cell) = 7.12
- energy relative to the elements (eV/f.u.) = 2.42

[3]
VASP calculation (PBE) on a relaxed LaRhAu crystal.

Cell and atoms, written as POSCAR:
```
LaRhAu
1.0
4.573 0.000 0.000
-2.286 3.960 0.000
0.000 0.000 3.898
La Rh Au
1 1 1
direct
0.000 0.000 0.000
0.333 0.667 0.500
0.667 0.333 0.500
```

Values from the calculation:
- SG = No. 187
- D(E_F) (states/eV/cell) = 3.04
- energy relative to the elements (eV/f.u.) = -1.81

[4]
VASP calculation (PBE) on a relaxed Ca2CuSb3Pd4 crystal.

Cell and atoms, written as POSCAR:
```
Ca2CuSb3Pd4
1.0
4.486 0.000 0.000
0.000 4.486 0.000
0.000 0.000 10.769
Ca Cu Sb Pd
2 1 3 4
direct
0.000 0.500 0.245
0.500 0.000 0.755
0.500 0.500 0.000
0.000 0.000 0.000
0.000 0.500 0.636
0.500 0.000 0.364
0.000 0.000 0.500
0.000 0.500 0.875
0.500 0.000 0.125
0.500 0.500 0.500
```

Values from the calculation:
- SG = No. 115
- D(E_F) (states/eV/cell) = 5.68

Record-wise E_tot values, in eV/atom: -1.986, -5.092, -5.787, -4.781